Entry 1:
Entry from Alexandria via LeMat-Bulk: an optimized crystal structure of Y4Er2Cd (GGA-PBE).

Cell: 3.508 8.454 8.422 Å, 116.78 102.02 90.00°
Positions (direct):
Y  0.919  0.297  0.837
Y  0.081  0.703  0.163
Y  0.632  0.392  0.264
Y  0.368  0.608  0.736
Er  0.782  0.860  0.564
Er  0.218  0.140  0.436
Cd  0.000  0.000  0.000

Size of the total moment, Bohr magnetons per cell: 0.00
Formation energy from the elements, kcal/mol of atoms: 0.955
DOS at the Fermi energy, states/eV/atom: 1.508


Entry 2:
Entry from Alexandria via LeMat-Bulk: an optimized crystal structure of PmThCo3 (GGA-PBE).

Cell: 4.010 3.980 12.113 Å, 90.00 99.53 90.00°
Last column: magnetic moment on the atom in μB.
Positions (direct):
Pm  0.931  0.750  0.862  -0.07
Pm  0.069  0.250  0.138  -0.07
Th  0.200  0.750  0.400  0.02
Th  0.800  0.250  0.600  0.02
Co  0.621  0.750  0.242  -0.10
Co  0.379  0.250  0.758  -0.10
Co  0.523  0.750  0.046  0.70
Co  0.477  0.250  0.954  0.70
Co  0.676  0.250  0.353  -0.10
Co  0.324  0.750  0.647  -0.10

Size of the total moment, Bohr magnetons per cell: 0.79
Formation energy from the elements, kcal/mol of atoms: -4.078
DOS at the Fermi energy, states/eV/atom: 0.968


Copy entry 2 word for word.
Entry from Alexandria via LeMat-Bulk: an optimized crystal structure of PmThCo3 (GGA-PBE).

Cell: 4.010 3.980 12.113 Å, 90.00 99.53 90.00°
Last column: magnetic moment on the atom in μB.
Positions (direct):
Pm  0.931  0.750  0.862  -0.07
Pm  0.069  0.250  0.138  -0.07
Th  0.200  0.750  0.400  0.02
Th  0.800  0.250  0.600  0.02
Co  0.621  0.750  0.242  -0.10
Co  0.379  0.250  0.758  -0.10
Co  0.523  0.750  0.046  0.70
Co  0.477  0.250  0.954  0.70
Co  0.676  0.250  0.353  -0.10
Co  0.324  0.750  0.647  -0.10

Size of the total moment, Bohr magnetons per cell: 0.79
Formation energy from the elements, kcal/mol of atoms: -4.078
DOS at the Fermi energy, states/eV/atom: 0.968


Q: Among the records above, which one has the lowest formation energy from the elements?
A: PmThCo3